[1]
Below is a relaxed structure of Dy2MgCu2, with properties calculated at the GGA-PBEsol level.

abc: 3.5707 7.5522 7.5522
angles: 90.00 90.00 90.00
Fractional coordinates of all 10 atoms:
1 Cu 0.0000 0.8772 0.3772
2 Dy 0.5000 0.8310 0.6690
3 Cu 0.0000 0.3772 0.1228
4 Dy 0.5000 0.1690 0.3310
5 Mg 0.0000 0.5000 0.5000
6 Dy 0.5000 0.3310 0.8310
7 Mg 0.0000 0.0000 0.0000
8 Cu 0.0000 0.1228 0.6228
9 Cu 0.0000 0.6228 0.8772
10 Dy 0.5000 0.6690 0.1690

Properties
density = 7.8 g/cm³
ΔE_f = -0.229 eV/atom
symmetry = No. 127


[2]
Below is a relaxed structure of YAl2GaB, with properties calculated at the GGA-PBEsol level.

abc: 3.8145 5.0900 5.0900
angles: 90.00 90.00 90.00
Fractional coordinates of all 5 atoms:
1 Ga 0.0000 0.0000 0.0000
2 Al 0.0000 0.0000 0.5000
3 B 0.5000 0.0000 0.0000
4 Y 0.5000 0.5000 0.5000
5 Al 0.0000 0.5000 0.0000

Properties
density = 3.8 g/cm³
ΔE_f = 0.567 eV/atom
symmetry = No. 123


[3]
Below is a relaxed structure of NaAsPtSe2, with properties calculated at the GGA-PBEsol level.

abc: 4.7699 4.8219 4.8219
angles: 90.00 90.00 90.00
Fractional coordinates of all 5 atoms:
1 Se 0.0000 0.5000 0.0000
2 As 0.5000 0.0000 0.0000
3 Na 0.0000 0.0000 0.0000
4 Pt 0.5000 0.5000 0.5000
5 Se 0.0000 0.0000 0.5000

Properties
DFT total energy = -2.930 eV per atom
density = 6.8 g/cm³
symmetry = No. 123


[4]
Below is a relaxed structure of AgP2, with properties calculated at the GGA-PBEsol level.

abc: 3.1615 3.1615 10.2869
angles: 98.84 98.84 90.00
Fractional coordinates of all 6 atoms:
1 Ag 0.2500 0.7500 0.5000
2 P 0.8372 0.3372 0.6745
3 Ag 0.0000 0.0000 0.0000
4 P 0.5872 0.5872 0.1745
5 P 0.6628 0.1628 0.3255
6 P 0.4128 0.4128 0.8255

Properties
density = 5.6 g/cm³
ΔE_f = 0.297 eV/atom
symmetry = No. 141


[5]
Below is a relaxed structure of Eu2SeO2, with properties calculated at the GGA-PBEsol level.

abc: 3.8793 3.8793 6.9799
angles: 90.00 90.00 120.00
Each line ends with the local moment (μB).
Fractional coordinates of all 5 atoms:
1 Se 0.0000 0.0000 0.0000  -0.29
2 Eu 0.3333 0.6667 0.2934  6.30
3 Eu 0.6667 0.3333 0.7066  6.30
4 O 0.6667 0.3333 0.3724  -0.15
5 O 0.3333 0.6667 0.6276  -0.15

Properties
DFT total energy = -9.651 eV per atom
density = 7.6 g/cm³
symmetry = No. 164


[6]
Below is a relaxed structure of BaTeH, with properties calculated at the GGA-PBEsol level.

abc: 4.8300 4.8300 8.8842
angles: 74.23 74.23 60.00
Fractional coordinates of all 6 atoms:
1 Ba 0.0689 0.0689 0.7934
2 Ba 0.2384 0.2384 0.2848
3 H 0.3922 0.3922 0.8235
4 Te 0.6524 0.6524 0.0429
5 Te 0.8219 0.8219 0.5344
6 H 0.4234 0.4234 0.7297

Properties
DFT total energy = -4.132 eV per atom
density = 5.2 g/cm³
symmetry = No. 160


Question: Which formula does entry 4 have?
Answer: AgP2


Repeat the third record exactly.
Below is a relaxed structure of NaAsPtSe2, with properties calculated at the GGA-PBEsol level.

abc: 4.7699 4.8219 4.8219
angles: 90.00 90.00 90.00
Fractional coordinates of all 5 atoms:
1 Se 0.0000 0.5000 0.0000
2 As 0.5000 0.0000 0.0000
3 Na 0.0000 0.0000 0.0000
4 Pt 0.5000 0.5000 0.5000
5 Se 0.0000 0.0000 0.5000

Properties
DFT total energy = -2.930 eV per atom
density = 6.8 g/cm³
symmetry = No. 123


Question: Which value of density does entry 5 give?
Answer: 7.6 g/cm³